An optimized crystal structure of Li2YN. Source: Alexandria, functional PBE-GGA.

- Space-group type: I-42d (122)
- Calculated density: 2.97 g/cm³
- Raw formation energy: -0.2779 eV per atom
- DOS(E_F): 3.86 states/eV/cell

Cell and atoms, written as POSCAR:
```
Li2YN
1.0
-1.7171 1.7171 11.0795
1.7171 -1.7171 11.0795
1.7171 1.7171 -11.0795
Li Y N
4 2 2
Direct
0.0906 0.6250 0.9656
0.3750 0.3406 0.4656
0.6594 0.1250 0.0344
0.8750 0.9094 0.5344
0.2500 0.7500 0.5000
0.5000 0.5000 0.0000
0.0000 0.0000 0.0000
0.7500 0.2500 0.5000
```